{"formula": "Ga2Co2F", "functional": "GGA+U", "state": "optimized geometry", "lattice_angstrom": [[6.533, 0.000, 0.000], [0.000, 6.533, 0.000], [0.000, 0.000, 3.212]], "species": ["Co", "Co", "Co", "Co", "Ga", "Ga", "Ga", "Ga", "F", "F"], "frac_coords": [[0.344, 0.844, 0.000], [0.844, 0.656, 0.000], [0.656, 0.156, 0.000], [0.156, 0.344, 0.000], [0.145, 0.645, 0.500], [0.645, 0.855, 0.500], [0.855, 0.355, 0.500], [0.355, 0.145, 0.500], [0.000, 0.000, 0.000], [0.500, 0.500, 0.000]], "volume_a3_per_fu": 68.5, "relative_energy_mev_per_atom": 0, "final_energy_ev_per_atom": -3.8079, "magmom_total_mub_per_fu": 3.025}